Below is a geometry-optimized DyAl2Cl8 structure, with properties calculated at the PBE-GGA level.

Computed properties:
Total moment: 0.090 μB/atom
D(E_F): 1.45 states/eV/f.u.

Unit cell a=6.418 b=8.099 c=8.099 alpha=68.14 beta=83.38 gamma=83.38
Last column: magnetic moment on the atom in μB.
Positions (direct):
Dy 0.000 0.000 0.000  0.52
Al 0.644 0.813 0.813  0.03
Al 0.356 0.187 0.187  0.03
Cl 0.239 0.284 0.919  -0.01
Cl 0.761 0.081 0.716  -0.01
Cl 0.292 0.831 0.831  0.01
Cl 0.708 0.169 0.169  0.01
Cl 0.239 0.919 0.284  -0.01
Cl 0.761 0.716 0.081  -0.01
Cl 0.758 0.658 0.658  0.01
Cl 0.242 0.342 0.342  0.01

=====

Below is a geometry-optimized AlCl2F structure, with properties calculated at the PBE-GGA level.

Computed properties:
Distance to the lowest polymorph of the same formula: 1.3374 eV/atom
Total moment: 0.000 μB/atom
D(E_F): 0.00 states/eV/f.u.

Unit cell a=4.315 b=4.315 c=4.315 alpha=60.00 beta=60.00 gamma=60.00
Positions (direct):
F 0.000 0.000 0.000
Al 0.500 0.500 0.500
Cl 0.250 0.250 0.250
Cl 0.750 0.750 0.750

=====

Below is a geometry-optimized AlCl2F structure, with properties calculated at the PBE-GGA level.

Computed properties:
Distance to the lowest polymorph of the same formula: 0.0000 eV/atom
Total moment: 0.000 μB/atom
D(E_F): 0.00 states/eV/f.u.

Unit cell a=4.875 b=6.861 c=15.863 alpha=90.01 beta=90.00 gamma=90.03
Positions (direct):
Al 0.000 0.250 0.325
Al 0.000 0.750 0.675
Al 0.500 0.250 0.174
Al 0.500 0.750 0.826
Cl 0.327 0.011 0.113
Cl 0.673 0.989 0.887
Cl 0.827 0.489 0.387
Cl 0.173 0.511 0.613
Cl 0.326 0.512 0.887
Cl 0.674 0.488 0.113
Cl 0.827 0.988 0.613
Cl 0.173 0.012 0.387
F 0.750 0.668 0.750
F 0.250 0.332 0.250
F 0.250 0.832 0.750
F 0.750 0.168 0.250

=====

Below is a geometry-optimized AlCl3F structure, with properties calculated at the PBE-GGA level.

Computed properties:
Distance to the lowest polymorph of the same formula: 0.0000 eV/atom
Total moment: 0.200 μB/atom
D(E_F): 9.36 states/eV/f.u.

Unit cell a=4.649 b=4.649 c=4.649 alpha=90.00 beta=90.00 gamma=90.00
Last column: magnetic moment on the atom in μB.
Positions (direct):
F 0.500 0.500 0.500  -0.56
Al 0.000 0.000 0.000  0.00
Cl 0.000 0.500 0.000  -0.11
Cl 0.000 0.000 0.500  -0.07
Cl 0.500 0.000 0.000  -0.13

=====

Below is a geometry-optimized AlClF2 structure, with properties calculated at the PBE-GGA level.

Computed properties:
Distance to the lowest polymorph of the same formula: 0.8951 eV/atom
Total moment: 0.000 μB/atom
D(E_F): 2.50 states/eV/f.u.

Unit cell a=7.597 b=7.597 c=7.597 alpha=24.66 beta=24.66 gamma=24.66
Positions (direct):
F 0.868 0.868 0.868
F 0.132 0.132 0.132
Al 0.500 0.500 0.500
Cl 0.000 0.000 0.000

=====

Below is a geometry-optimized Al2ClF structure, with properties calculated at the PBE-GGA level.

Computed properties:
Distance to the lowest polymorph of the same formula: 0.2834 eV/atom
Total moment: 0.000 μB/atom
D(E_F): 0.00 states/eV/f.u.

Unit cell a=4.825 b=4.825 c=4.825 alpha=60.00 beta=60.00 gamma=60.00
Positions (direct):
F 0.000 0.000 0.000
Al 0.250 0.250 0.250
Al 0.750 0.750 0.750
Cl 0.500 0.500 0.500

=====

Below is a geometry-optimized AlCl2F structure, with properties calculated at the PBE-GGA level.

Computed properties:
Distance to the lowest polymorph of the same formula: 0.2310 eV/atom
Total moment: 0.000 μB/atom
D(E_F): 0.00 states/eV/f.u.

Unit cell a=8.889 b=8.889 c=6.546 alpha=47.24 beta=47.24 gamma=90.00
Positions (direct):
F 0.500 0.500 0.000
F 0.250 0.750 0.500
Al 0.000 0.000 0.000
Al 0.750 0.250 0.500
Cl 0.791 0.125 0.250
Cl 0.959 0.625 0.250
Cl 0.375 0.209 0.750
Cl 0.875 0.041 0.750

=====

Below is a geometry-optimized Al2ClF structure, with properties calculated at the PBE-GGA level.

Computed properties:
Distance to the lowest polymorph of the same formula: 0.0000 eV/atom
Total moment: 0.000 μB/atom
D(E_F): 0.00 states/eV/f.u.

Unit cell a=4.864 b=4.864 c=8.251 alpha=72.86 beta=72.86 gamma=90.00
Positions (direct):
F 0.500 0.500 0.000
F 0.250 0.750 0.500
Al 0.437 0.125 0.250
Al 0.313 0.625 0.250
Al 0.375 0.563 0.750
Al 0.875 0.687 0.750
Cl 0.000 0.000 0.000
Cl 0.750 0.250 0.500

=====

Below is a geometry-optimized AlClF2 structure, with properties calculated at the PBE-GGA level.

Computed properties:
Distance to the lowest polymorph of the same formula: 0.0000 eV/atom
Total moment: 0.000 μB/atom
D(E_F): 0.00 states/eV/f.u.

Unit cell a=2.885 b=5.841 c=8.609 alpha=90.00 beta=90.00 gamma=104.30
Positions (direct):
Al 0.872 0.745 0.250
Al 0.128 0.255 0.750
Cl 0.058 0.116 0.250
Cl 0.942 0.884 0.750
F 0.665 0.329 0.882
F 0.335 0.671 0.118
F 0.335 0.671 0.382
F 0.665 0.329 0.618

=====

Below is a geometry-optimized AlClF2 structure, with properties calculated at the PBE-GGA level.

Computed properties:
Distance to the lowest polymorph of the same formula: 1.5507 eV/atom
Total moment: 0.000 μB/atom
D(E_F): 0.56 states/eV/f.u.

Unit cell a=4.110 b=4.110 c=4.110 alpha=60.00 beta=60.00 gamma=60.00
Positions (direct):
F 0.250 0.250 0.250
F 0.750 0.750 0.750
Al 0.000 0.000 0.000
Cl 0.500 0.500 0.500

=====

Below is a geometry-optimized AlCl2F structure, with properties calculated at the PBE-GGA level.

Computed properties:
Distance to the lowest polymorph of the same formula: 1.3382 eV/atom
Total moment: 0.000 μB/atom
D(E_F): 0.00 states/eV/f.u.

Unit cell a=7.660 b=7.660 c=7.660 alpha=25.53 beta=25.53 gamma=25.53
Positions (direct):
F 0.000 0.000 0.000
Al 0.500 0.500 0.500
Cl 0.898 0.898 0.898
Cl 0.102 0.102 0.102

=====

Below is a geometry-optimized AlClF2 structure, with properties calculated at the PBE-GGA level.

Computed properties:
Distance to the lowest polymorph of the same formula: 0.1540 eV/atom
Total moment: 0.000 μB/atom

Unit cell a=5.623 b=5.623 c=5.623 alpha=60.00 beta=60.00 gamma=60.00
Positions (direct):
Al 0.500 0.500 0.500
Al 0.750 0.750 0.750
Cl 0.000 0.000 0.000
Cl 0.250 0.250 0.250
F 0.625 0.625 0.125
F 0.625 0.625 0.625
F 0.625 0.125 0.625
F 0.125 0.625 0.625

=====

Below is a geometry-optimized AlClF2 structure, with properties calculated at the PBE-GGA level.

Computed properties:
Distance to the lowest polymorph of the same formula: 1.1849 eV/atom
Total moment: 0.138 μB/atom
D(E_F): 2.02 states/eV/f.u.

Unit cell a=10.255 b=10.255 c=10.255 alpha=17.14 beta=17.14 gamma=17.14
Last column: magnetic moment on the atom in μB.
Positions (direct):
F 0.945 0.945 0.945  0.00
F 0.055 0.055 0.055  0.00
Al 0.000 0.000 0.000  0.00
Cl 0.500 0.500 0.500  0.44

=====

Below is a geometry-optimized AlCl3F structure, with properties calculated at the PBE-GGA level.

Computed properties:
Distance to the lowest polymorph of the same formula: 0.9990 eV/atom
Total moment: 0.000 μB/atom
D(E_F): 5.42 states/eV/f.u.

Unit cell a=4.725 b=4.725 c=4.725 alpha=90.00 beta=90.00 gamma=90.00
Positions (direct):
F 0.000 0.000 0.000
Al 0.500 0.500 0.500
Cl 0.000 0.500 0.000
Cl 0.000 0.000 0.500
Cl 0.500 0.000 0.000

=====

Below is a geometry-optimized AlHgClF6 structure, with properties calculated at the PBE-GGA level.

Computed properties:
Total moment: 0.006 μB/atom
D(E_F): 0.00 states/eV/f.u.

Unit cell a=5.682 b=5.927 c=5.239 alpha=76.28 beta=107.39 gamma=67.72
Positions (direct):
Al 0.304 0.324 0.460
Hg 0.738 0.706 0.683
Cl 0.982 0.963 0.009
F 0.980 0.422 0.171
F 0.359 0.014 0.696
F 0.651 0.291 0.757
F 0.133 0.508 0.637
F 0.319 0.636 0.258
F 0.534 0.137 0.330

=====

no.,E (eV per atom),calculated volume (Å³ per atom)
1,-4.030,35.17
2,-3.137,14.20
3,-4.474,33.16
4,-3.032,20.10
5,-3.977,16.78
6,-3.339,19.86
7,-4.243,18.07
8,-3.623,22.18
9,-4.872,17.57
10,-3.322,12.27
11,-3.136,18.37
12,-4.718,15.72
13,-3.687,20.42
14,-2.033,21.10
15,-3.938,15.89